# 1
The following is a DFT calculation (PBE) of crystalline Ac7Pr4Sm at its relaxed geometry.

a = 7.776 Å, b = 6.757 Å, c = 12.363 Å
α = 79.71°, β = 51.36°, γ = 90.09°
Sites, in units of the cell vectors:
Ac 0.255 0.498 0.995
Ac 0.919 0.719 0.335
Sm 0.000 0.000 0.000
Pr 0.835 0.779 0.666
Ac 0.745 0.502 0.005
Ac 0.669 0.221 0.332
Pr 0.419 0.728 0.330
Ac 0.500 0.000 0.000
Ac 0.081 0.281 0.665
Ac 0.331 0.779 0.668
Pr 0.165 0.221 0.334
Pr 0.581 0.272 0.670

Values from the calculation:
The value obtained for the energy of formation from the pure elements is 0.34 eV per formula unit. The energy relative to the lowest polymorph listed for this composition is 0.000 eV per atom. Its density of states at the Fermi level is 19.3 states/eV per cell. Its total energy is -4.3547 eV/atom.

***

# 2
The following is a DFT calculation (PBE) of crystalline AcPr4Sm2 at its relaxed geometry.

a = 7.023 Å, b = 7.023 Å, c = 8.881 Å
α = 134.05°, β = 70.08°, γ = 123.47°
Sites, in units of the cell vectors:
Sm 0.541 0.725 0.267
Pr 0.000 0.500 0.000
Pr 0.162 0.346 0.508
Ac 0.000 0.000 0.000
Pr 0.500 0.000 0.000
Pr 0.838 0.654 0.492
Sm 0.459 0.275 0.733

Values from the calculation:
The value obtained for the energy of formation from the pure elements is 1.47 eV per formula unit. The energy relative to the lowest polymorph listed for this composition is 0.095 eV per atom. Its density of states at the Fermi level is 12.2 states/eV per cell. Its total energy is -4.4565 eV/atom.

***

# 3
The following is a DFT calculation (PBE) of crystalline AcPr2Sm7 at its relaxed geometry.

a = 5.695 Å, b = 9.350 Å, c = 9.350 Å
α = 123.22°, β = 90.00°, γ = 90.00°
Sites, in units of the cell vectors:
Sm 0.500 0.703 0.937
Sm 0.500 0.937 0.703
Sm 0.500 0.297 0.063
Ac 0.000 0.000 0.000
Pr 0.500 0.298 0.702
Sm 0.500 0.063 0.297
Sm 0.000 0.230 0.770
Pr 0.500 0.702 0.298
Sm 0.500 0.500 0.500
Sm 0.000 0.770 0.230

Values from the calculation:
The value obtained for the energy of formation from the pure elements is 6.15 eV per formula unit. The energy relative to the lowest polymorph listed for this composition is 0.227 eV per atom. Its density of states at the Fermi level is 13.2 states/eV per cell. Its total energy is -4.0546 eV/atom.

***

# 4
The following is a DFT calculation (PBE) of crystalline Ac12Pr5Sm2 at its relaxed geometry.

a = 9.881 Å, b = 10.502 Å, c = 10.502 Å
α = 54.42°, β = 69.62°, γ = 69.62°
Sites, in units of the cell vectors:
Sm 0.000 0.178 0.822
Ac 0.162 0.151 0.151
Ac 0.192 0.991 0.583
Pr 0.851 0.588 0.588
Ac 0.192 0.583 0.991
Ac 0.561 0.388 0.793
Sm 0.000 0.822 0.178
Pr 0.149 0.412 0.412
Pr 0.537 0.771 0.771
Ac 0.439 0.612 0.207
Ac 0.183 0.610 0.610
Ac 0.439 0.207 0.612
Ac 0.817 0.390 0.390
Pr 0.463 0.229 0.229
Pr 0.500 0.000 0.000
Ac 0.838 0.849 0.849
Ac 0.561 0.793 0.388
Ac 0.808 0.009 0.417
Ac 0.808 0.417 0.009

Values from the calculation:
The value obtained for the energy of formation from the pure elements is 3.75 eV per formula unit. The energy relative to the lowest polymorph listed for this composition is 0.076 eV per atom. Its density of states at the Fermi level is 29.1 states/eV per cell. Its total energy is -4.1520 eV/atom.

***

# 5
The following is a DFT calculation (PBE) of crystalline Ac3Pr5Sm4 at its relaxed geometry.

a = 7.577 Å, b = 10.035 Å, c = 20.786 Å
α = 153.72°, β = 43.18°, γ = 139.07°
Sites, in units of the cell vectors:
Sm 0.781 0.101 0.161
Ac 0.750 0.498 0.499
Ac 0.250 0.502 0.501
Pr 0.283 0.110 0.164
Sm 0.530 0.604 0.163
Pr 0.500 0.000 0.500
Sm 0.219 0.899 0.839
Ac 0.000 0.000 0.500
Sm 0.470 0.396 0.837
Pr 0.030 0.603 0.161
Pr 0.970 0.397 0.839
Pr 0.717 0.890 0.836

Values from the calculation:
The value obtained for the energy of formation from the pure elements is 0.28 eV per formula unit. Its density of states at the Fermi level is 19.7 states/eV per cell. Its total energy is -4.5684 eV/atom.

***

# 6
The following is a DFT calculation (PBE) of crystalline AcPr3Sm at its relaxed geometry.

a = 8.548 Å, b = 8.548 Å, c = 6.409 Å
α = 90.00°, β = 90.00°, γ = 57.87°
Sites, in units of the cell vectors:
Sm 0.650 0.650 0.250
Pr 0.207 0.603 0.250
Ac 0.202 0.202 0.250
Pr 0.793 0.397 0.750
Pr 0.603 0.207 0.250
Ac 0.798 0.798 0.750
Sm 0.350 0.350 0.750
Pr 0.397 0.793 0.750
Pr 0.000 0.000 0.000
Pr 0.000 0.000 0.500

Values from the calculation:
The value obtained for the energy of formation from the pure elements is 1.56 eV per formula unit. The energy relative to the lowest polymorph listed for this composition is 0.235 eV per atom. Its density of states at the Fermi level is 9.8 states/eV per cell. Its total energy is -4.3212 eV/atom.

***

# 7
The following is a DFT calculation (PBE) of crystalline Ac12Pr5Sm2 at its relaxed geometry.

a = 11.800 Å, b = 9.583 Å, c = 9.141 Å
α = 83.01°, β = 90.00°, γ = 128.00°
Sites, in units of the cell vectors:
Ac 0.376 0.216 0.614
Ac 0.624 0.784 0.386
Ac 0.424 0.848 0.714
Pr 0.357 0.715 0.120
Sm 0.722 0.000 0.000
Ac 0.840 0.216 0.614
Ac 0.027 0.641 0.803
Ac 0.160 0.784 0.386
Pr 0.643 0.285 0.880
Ac 0.868 0.736 0.120
Ac 0.386 0.359 0.197
Pr 0.768 0.536 0.516
Ac 0.576 0.152 0.286
Ac 0.614 0.641 0.803
Pr 0.232 0.464 0.484
Ac 0.132 0.264 0.880
Ac 0.973 0.359 0.197
Pr 0.000 0.000 0.500
Sm 0.278 0.000 0.000

Values from the calculation:
The value obtained for the energy of formation from the pure elements is 2.30 eV per formula unit. The energy relative to the lowest polymorph listed for this composition is 0.000 eV per atom. Its density of states at the Fermi level is 29.8 states/eV per cell. Its total energy is -4.2282 eV/atom.

***

# 8
The following is a DFT calculation (PBE) of crystalline Ac2PrSm6 at its relaxed geometry.

a = 3.665 Å, b = 12.499 Å, c = 12.499 Å
α = 47.77°, β = 54.23°, γ = 54.23°
Sites, in units of the cell vectors:
Sm 0.161 0.669 0.001
Sm 0.839 0.999 0.331
Sm 0.839 0.331 0.999
Ac 0.333 0.667 0.667
Sm 0.161 0.001 0.669
Ac 0.667 0.333 0.333
Sm 0.500 0.670 0.330
Pr 0.000 0.000 0.000
Sm 0.500 0.330 0.670

Values from the calculation:
The value obtained for the energy of formation from the pure elements is 0.53 eV per formula unit. The energy relative to the lowest polymorph listed for this composition is 0.000 eV per atom. Its density of states at the Fermi level is 13.4 states/eV per cell. Its total energy is -4.5309 eV/atom.

***

Question: Which value of energy of formation from the pure elements does entry 3 give?
Answer: 6.15 eV per formula unit